# Ca2MgSc, relaxed, DFT PBE
# - Fermi-level density of states (states/eV per cell) = 5.4
# - energy of formation (eV per formula unit) = 0.22
# - VASP energy (eV/atom) = -2.928
# - size of the total moment (μB/atom) = 0.125
# - volume (Å³ per atom) = 31.81
data_Ca2MgSc
_symmetry_space_group_name_H-M 'P 1'
_symmetry_Int_Tables_number 1
_cell_length_a 3.678
_cell_length_b 3.678
_cell_length_c 9.404
_cell_angle_alpha 90.00
_cell_angle_beta 90.00
_cell_angle_gamma 90.00
loop_
_symmetry_equiv_pos_as_xyz
'x,y,z'
loop_
_atom_site_label
_atom_site_type_symbol
_atom_site_fract_x
_atom_site_fract_y
_atom_site_fract_z
Ca1 Ca 0.000 0.000 0.000
Ca2 Ca 0.500 0.500 0.320
Mg1 Mg 0.000 0.000 0.554
Sc1 Sc 0.500 0.500 0.734


# CaMgSc, relaxed, DFT PBE
# - Fermi-level density of states (states/eV per cell) = 10.6
# - offset from the most stable computed form (eV/atom) = 0.4250
# - energy of formation (eV per formula unit) = 1.25
# - VASP energy (eV/atom) = -2.892
# - size of the total moment (μB/atom) = 0.070
# - volume (Å³ per atom) = 33.72
data_CaMgSc
_symmetry_space_group_name_H-M 'P 1'
_symmetry_Int_Tables_number 1
_cell_length_a 5.242
_cell_length_b 5.242
_cell_length_c 7.364
_cell_angle_alpha 90.00
_cell_angle_beta 90.00
_cell_angle_gamma 90.00
loop_
_symmetry_equiv_pos_as_xyz
'x,y,z'
loop_
_atom_site_label
_atom_site_type_symbol
_atom_site_fract_x
_atom_site_fract_y
_atom_site_fract_z
Ca1 Ca 0.250 0.750 0.000
Ca2 Ca 0.750 0.250 0.000
Mg1 Mg 0.250 0.250 0.282
Mg2 Mg 0.750 0.750 0.718
Sc1 Sc 0.250 0.750 0.500
Sc2 Sc 0.750 0.250 0.500


# CaMg5Sc4, relaxed, DFT PBE
# - Fermi-level density of states (states/eV per cell) = 12.0
# - energy of formation (eV per formula unit) = -0.41
# - VASP energy (eV/atom) = -3.571
# - size of the total moment (μB/atom) = 0.001
# - volume (Å³ per atom) = 24.65
data_CaMg5Sc4
_symmetry_space_group_name_H-M 'P 1'
_symmetry_Int_Tables_number 1
_cell_length_a 3.644
_cell_length_b 3.644
_cell_length_c 18.559
_cell_angle_alpha 90.00
_cell_angle_beta 90.00
_cell_angle_gamma 90.00
loop_
_symmetry_equiv_pos_as_xyz
'x,y,z'
loop_
_atom_site_label
_atom_site_type_symbol
_atom_site_fract_x
_atom_site_fract_y
_atom_site_fract_z
Ca1 Ca 0.000 0.000 0.000
Mg1 Mg 0.500 0.500 0.120
Mg2 Mg 0.500 0.500 0.310
Mg3 Mg 0.500 0.500 0.500
Mg4 Mg 0.500 0.500 0.690
Mg5 Mg 0.500 0.500 0.880
Sc1 Sc 0.000 0.000 0.217
Sc2 Sc 0.000 0.000 0.405
Sc3 Sc 0.000 0.000 0.595
Sc4 Sc 0.000 0.000 0.783


# CaMg4Sc, relaxed, DFT PBE
# - Fermi-level density of states (states/eV per cell) = 4.0
# - offset from the most stable computed form (eV/atom) = 0.0054
# - energy of formation (eV per formula unit) = -0.12
# - VASP energy (eV/atom) = -2.472
# - size of the total moment (μB/atom) = 0.000
# - volume (Å³ per atom) = 25.54
data_CaMg4Sc
_symmetry_space_group_name_H-M 'P 1'
_symmetry_Int_Tables_number 1
_cell_length_a 6.668
_cell_length_b 6.668
_cell_length_c 7.173
_cell_angle_alpha 105.90
_cell_angle_beta 105.90
_cell_angle_gamma 30.07
loop_
_symmetry_equiv_pos_as_xyz
'x,y,z'
loop_
_atom_site_label
_atom_site_type_symbol
_atom_site_fract_x
_atom_site_fract_y
_atom_site_fract_z
Ca1 Ca 0.000 0.000 0.000
Mg1 Mg 0.319 0.319 0.181
Mg2 Mg 0.331 0.331 0.641
Mg3 Mg 0.669 0.669 0.359
Mg4 Mg 0.681 0.681 0.819
Sc1 Sc 0.000 0.000 0.500